{
  "formula": "CePa2OsC4",
  "functional": "PBE-GGA",
  "state": "relaxed",
  "formation_enthalpy_0k_mev_per_atom": -165,
  "m_tot_mub_per_atom": 0.000,
  "final_energy_ev_per_atom": -9.296,
  "lattice": [[3.5552, 0.0000, 0.0000], [-1.7776, 5.9281, 0.0000], [0.0000, 0.0000, 12.0453]],
  "species": ["Ce", "Ce", "Pa", "Pa", "Pa", "Pa", "Os", "Os", "C", "C", "C", "C", "C", "C", "C", "C"],
  "fractional_positions": [[0.1068, 0.2136, 0.7500], [0.8932, 0.7864, 0.2500], [0.3673, 0.7345, 0.5442], [0.6327, 0.2655, 0.0442], [0.6327, 0.2655, 0.4558], [0.3673, 0.7345, 0.9558], [0.8480, 0.6959, 0.7500], [0.1520, 0.3041, 0.2500], [0.2638, 0.5276, 0.1258], [0.7362, 0.4724, 0.6258], [0.7362, 0.4724, 0.8742], [0.2638, 0.5276, 0.3742], [0.0000, 0.0000, 0.5000], [0.0000, 0.0000, 0.0000], [0.4362, 0.8723, 0.7500], [0.5638, 0.1277, 0.2500]]
}